{
  "formula": "CoIrC2",
  "functional": "SCAN",
  "state": "PBEsol geometry",
  "e_form_ev_per_atom": 0.58,
  "total_energy_ev_per_atom": -26.570,
  "cell": [[-1.782, 2.433, -3.210], [-3.988, -1.554, 1.036], [2.322, 2.903, 3.934]],
  "species": ["Co", "Ir", "C", "C", "C", "C", "Co", "Ir"],
  "frac_coords": [[0.750, 0.250, 0.500], [0.250, 0.750, 0.500], [0.625, 0.603, 0.750], [0.125, 0.147, 0.750], [0.397, 0.875, 0.250], [0.853, 0.375, 0.250], [0.500, 0.500, 0.000], [0.000, 0.000, 0.000]]
}